A plane-wave DFT calculation with PBEsol was carried out for PmI after structural relaxation.

Unit cell a=3.8475 b=3.8475 c=4.5865 alpha=90.00 beta=90.00 gamma=120.00
Closest atoms and distances in Å follow each position.
Element x y z (fractional)
Pm: 0.0000 0.0000 0.0000  6 I 3.19
I: 0.6667 0.3333 0.5000  6 Pm 3.19

Computed properties:
Energy relative to the elements, uncorrected ... -1000 meV/atom
Uncorrected energy ... -4.451 eV per atom
Calculated volume ... 58.8 Å³/cell

***

A plane-wave DFT calculation with PBEsol was carried out for LiCrIr2 after structural relaxation.

Unit cell a=4.9185 b=4.9185 c=4.9185 alpha=146.79 beta=125.73 gamma=65.12
Closest atoms and distances in Å follow each position.
Element x y z (fractional)
Li: 0.0000 0.0000 0.0000  4 Ir 2.54, 4 Cr 2.65, 2 Li 2.81
Cr: 0.5000 0.5000 0.0000  4 Ir 2.47, 4 Li 2.65
Ir: 0.2548 0.7548 0.5000  2 Cr 2.47, 2 Li 2.54, 4 Ir 2.65
Ir: 0.7452 0.2452 0.5000  2 Cr 2.47, 2 Li 2.54, 4 Ir 2.65

Computed properties:
Uncorrected energy ... -7.900 eV per atom
Calculated volume ... 52.3 Å³/cell
Energy of formation from the pure elements ... 0.064 eV per atom

***

A plane-wave DFT calculation with PBEsol was carried out for CuNi2W after structural relaxation.

Unit cell a=4.0631 b=4.0631 c=4.0631 alpha=60.00 beta=60.00 gamma=60.00
Closest atoms and distances in Å follow each position.
Element x y z (fractional)
Cu: 0.0000 0.0000 0.0000  4 W 2.49, 4 Ni 2.49
Ni: 0.2500 0.2500 0.2500  4 Ni 2.49, 4 Cu 2.49
Ni: 0.5000 0.5000 0.5000  4 W 2.49, 4 Ni 2.49
W: 0.7500 0.7500 0.7500  4 Ni 2.49, 4 Cu 2.49

Computed properties:
Uncorrected energy ... -7.434 eV per atom
Calculated volume ... 47.4 Å³/cell
Energy above the lowest structure with this stoichiometry ... 0.187 eV per atom
Energy of formation from the pure elements ... 0.180 eV per atom

***

A plane-wave DFT calculation with PBEsol was carried out for KGa2Pt2 after structural relaxation.

Unit cell a=7.9423 b=7.9423 c=2.7402 alpha=90.00 beta=90.00 gamma=90.00
Closest atoms and distances in Å follow each position.
Element x y z (fractional)
K: 0.0000 0.0000 0.0000  2 K 2.74, 4 Pt 2.99
K: 0.5000 0.5000 0.0000  2 K 2.74, 4 Pt 2.99
Ga: 0.1352 0.3648 0.5000  6 Pt 2.70-2.71, 2 Ga 2.74
Ga: 0.3648 0.8648 0.5000  6 Pt 2.70-2.71, 2 Ga 2.74
Ga: 0.6352 0.1352 0.5000  6 Pt 2.70-2.71, 2 Ga 2.74
Ga: 0.8648 0.6352 0.5000  6 Pt 2.70-2.71, 2 Ga 2.74
Pt: 0.1576 0.6576 0.0000  6 Ga 2.70-2.71, 2 Pt 2.74, 2 K 2.99
Pt: 0.3424 0.1576 0.0000  6 Ga 2.70-2.71, 2 Pt 2.74, 2 K 2.99
Pt: 0.6576 0.8424 0.0000  6 Ga 2.70-2.71, 2 Pt 2.74, 2 K 2.99
Pt: 0.8424 0.3424 0.0000  6 Ga 2.70-2.71, 2 Pt 2.74, 2 K 2.99

Computed properties:
Uncorrected energy ... -4.782 eV per atom
Calculated volume ... 172.9 Å³/cell
Energy above the lowest structure with this stoichiometry ... 0.000 eV per atom
Energy of formation from the pure elements ... -0.434 eV per atom

***

A plane-wave DFT calculation with PBEsol was carried out for Li2HfOsPt after structural relaxation.

Unit cell a=4.3610 b=4.3610 c=4.8408 alpha=90.00 beta=90.00 gamma=90.00
Closest atoms and distances in Å follow each position.
Element x y z (fractional)
Li: 0.0000 0.5000 0.0000  2 Os 2.18
Li: 0.5000 0.0000 0.0000  2 Os 2.18
Hf: 0.0000 0.0000 0.5000  2 Os 2.42
Os: 0.0000 0.0000 0.0000  4 Li 2.18, 2 Hf 2.42
Pt: 0.5000 0.5000 0.5000  4 Hf 3.08, 8 Li 3.26

Computed properties:
Uncorrected energy ... -5.891 eV per atom
Calculated volume ... 92.1 Å³/cell
Energy of formation from the pure elements ... 0.832 eV per atom

***

A plane-wave DFT calculation with PBEsol was carried out for LaHg3As after structural relaxation.

Unit cell a=5.1498 b=5.1498 c=5.1498 alpha=90.00 beta=90.00 gamma=90.00
Closest atoms and distances in Å follow each position.
Element x y z (fractional)
La: 0.0000 0.0000 0.0000  12 Hg 3.64
Hg: 0.0000 0.5000 0.5000  2 As 2.57
Hg: 0.5000 0.0000 0.5000  2 As 2.57
Hg: 0.5000 0.5000 0.0000  2 As 2.57
As: 0.5000 0.5000 0.5000  6 Hg 2.57

Computed properties:
Uncorrected energy ... -2.362 eV per atom
Calculated volume ... 136.6 Å³/cell
Energy of formation from the pure elements ... 0.069 eV per atom

***

A plane-wave DFT calculation with PBEsol was carried out for AlReMo2 after structural relaxation.

Unit cell a=3.1347 b=3.1347 c=6.0183 alpha=90.00 beta=90.00 gamma=90.00
Closest atoms and distances in Å follow each position.
Element x y z (fractional)
Al: 0.0000 0.0000 0.0000  4 Re 2.66, 5 Mo 2.69-2.98
Re: 0.5000 0.5000 0.7543  4 Al 2.66, 4 Mo 2.67
Mo: 0.0000 0.0000 0.5055  4 Re 2.67, 4 Mo 2.69, 1 Al 2.98
Mo: 0.5000 0.5000 0.2534  4 Mo 2.69, 4 Al 2.69, 1 Re 3.00

Computed properties:
Uncorrected energy ... -10.238 eV per atom
Calculated volume ... 59.1 Å³/cell
Energy of formation from the pure elements ... 0.002 eV per atom

***

A plane-wave DFT calculation with PBEsol was carried out for Y2RhSBr after structural relaxation.

Unit cell a=5.2479 b=5.2479 c=4.6285 alpha=90.00 beta=90.00 gamma=90.00
Closest atoms and distances in Å follow each position.
Element x y z (fractional)
Y: 0.0000 0.5000 0.0000  2 Br 2.62
Y: 0.5000 0.0000 0.0000  2 Br 2.62
Rh: 0.0000 0.0000 0.5000  8 Y 3.50, 4 S 3.71
S: 0.5000 0.5000 0.5000  2 Br 2.31
Br: 0.5000 0.5000 0.0000  2 S 2.31

Computed properties:
Energy relative to the elements, uncorrected ... 367 meV/atom
Uncorrected energy ... -5.241 eV per atom
Calculated volume ... 127.5 Å³/cell

***

A plane-wave DFT calculation with PBEsol was carried out for InFeSb2 after structural relaxation.

Unit cell a=4.9846 b=4.9846 c=3.8110 alpha=97.41 beta=97.41 gamma=105.93
Closest atoms and distances in Å follow each position.
Element x y z (fractional)
In: 0.0000 0.0000 0.0000  4 Sb 2.94, 2 Fe 3.00
Fe: 0.5000 0.5000 0.0000  4 Sb 2.94, 2 In 3.00
Sb: 0.0000 0.5000 0.5000  2 In 2.94, 2 Fe 2.94, 2 Sb 3.00
Sb: 0.5000 0.0000 0.5000  2 In 2.94, 2 Fe 2.94, 2 Sb 3.00

Computed properties:
Energy relative to the elements, uncorrected ... 469 meV/atom
Uncorrected energy ... -4.796 eV per atom
Calculated volume ... 88.9 Å³/cell

***

A plane-wave DFT calculation with PBEsol was carried out for KCdF3 after structural relaxation.

Unit cell a=6.1909 b=8.6245 c=6.0554 alpha=90.00 beta=90.00 gamma=90.00
Closest atoms and distances in Å follow each position.
Element x y z (fractional)
K: 0.0460 0.2500 0.0117  6 F 2.63-2.90
K: 0.4540 0.7500 0.5117  6 F 2.63-2.90
K: 0.5460 0.2500 0.4883  6 F 2.63-2.90
K: 0.9540 0.7500 0.9883  6 F 2.63-2.90
Cd: 0.0000 0.0000 0.5000  6 F 2.22-2.23
Cd: 0.0000 0.5000 0.5000  6 F 2.22-2.23
Cd: 0.5000 0.0000 0.0000  6 F 2.22-2.23
Cd: 0.5000 0.5000 0.0000  6 F 2.22-2.23
F: 0.0283 0.7500 0.4155  2 Cd 2.22
F: 0.2077 0.5447 0.7945  2 Cd 2.23
F: 0.2077 0.9553 0.7945  2 Cd 2.23
F: 0.2923 0.0447 0.2945  2 Cd 2.23
F: 0.2923 0.4553 0.2945  2 Cd 2.23
F: 0.4717 0.2500 0.9155  2 Cd 2.22
F: 0.5283 0.7500 0.0845  2 Cd 2.22
F: 0.7077 0.5447 0.7055  2 Cd 2.23
F: 0.7077 0.9553 0.7055  2 Cd 2.23
F: 0.7923 0.0447 0.2055  2 Cd 2.23
F: 0.7923 0.4553 0.2055  2 Cd 2.23
F: 0.9717 0.2500 0.5845  2 Cd 2.22

Computed properties:
Energy relative to the elements, uncorrected ... -2439 meV/atom
Uncorrected energy ... -4.061 eV per atom
Calculated volume ... 323.3 Å³/cell

***

A plane-wave DFT calculation with PBEsol was carried out for Cd2AgHg after structural relaxation.

Unit cell a=4.7935 b=4.7935 c=4.7935 alpha=60.00 beta=60.00 gamma=60.00
Closest atoms and distances in Å follow each position.
Element x y z (fractional)
Cd: 0.0000 0.0000 0.0000  4 Ag 2.94, 4 Cd 2.94
Cd: 0.2500 0.2500 0.2500  4 Cd 2.94, 4 Hg 2.94
Ag: 0.7500 0.7500 0.7500  4 Hg 2.94, 4 Cd 2.94
Hg: 0.5000 0.5000 0.5000  4 Ag 2.94, 4 Cd 2.94

Computed properties:
Uncorrected energy ... -1.545 eV per atom
Calculated volume ... 77.9 Å³/cell
Energy of formation from the pure elements ... 0.023 eV per atom

***

A plane-wave DFT calculation with PBEsol was carried out for BaInSb2 after structural relaxation.

Unit cell a=6.1263 b=6.1263 c=4.8667 alpha=113.30 beta=113.30 gamma=46.52
Closest atoms and distances in Å follow each position.
Element x y z (fractional)
Ba: 0.0000 0.0000 0.0000  4 In 3.43, 8 Sb 3.51-3.52
In: 0.5000 0.5000 0.5000  4 Ba 3.43, 8 Sb 3.51-3.53
Sb: 0.2497 0.2497 0.7482  4 Sb 3.42-3.44, 4 In 3.51-3.53, 4 Ba 3.51-3.52
Sb: 0.7503 0.7503 0.2518  4 Sb 3.42-3.44, 4 In 3.51-3.53, 4 Ba 3.51-3.52

Computed properties:
Energy relative to the elements, uncorrected ... -463 meV/atom
Uncorrected energy ... -4.025 eV per atom
Calculated volume ... 119.6 Å³/cell